AcNd2SmTl2 PBE relaxed; energy of formation from the pure elements = -140 kJ/mol of formula units; symmetry = Pmc2_1; V = 399 Å³ per cell; N(E_F) = 1.361 states/eV/atom
1.0
5.2720 0.0000 0.0000
0.0000 7.2193 0.0000
0.0000 0.0000 10.4822
Ac Nd Sm Tl
2 4 2 4
Direct
0.0000 0.9516 0.4507
0.0000 0.4516 0.5493
0.5000 0.0596 0.0488
0.0000 0.3409 0.1792
0.5000 0.5596 0.9512
0.0000 0.8409 0.8208
0.5000 0.1724 0.6972
0.5000 0.6724 0.3028
0.0000 0.2957 0.8690
0.5000 0.2254 0.3630
0.0000 0.7957 0.1310
0.5000 0.7254 0.6370